(1)
The following is a PBE-GGA calculation of an optimized crystal structure of Mg3CoSe, from Alexandria via LeMat-Bulk.

**N(E_F)**: 0.4328 states/eV/atom
**Symmetry**: Pm-3m, No. 221
**Total DFT energy (no corrections)**: -13.08 eV per formula unit
**ΔE to the lowest computed polymorph**: 222 meV/atom
**Magnetization**: 1.150 μB/cell
**ΔE_f (raw)**: 0.458 eV per atom
**Mass density**: 2.9 g cm⁻³

a = 4.9586 Å, b = 4.9586 Å, c = 4.9586 Å
α = 90.00°, β = 90.00°, γ = 90.00°
Each line ends with the local moment (μB).
Fractional coordinates of all 5 atoms:
Mg (0.0000, 0.5000, 0.0000)  -0.02
Mg (0.0000, 0.0000, 0.5000)  -0.03
Mg (0.5000, 0.0000, 0.0000)  -0.02
Co (0.5000, 0.5000, 0.5000)  1.80
Se (0.0000, 0.0000, 0.0000)  -0.05

***

(2)
The following is a PBE-GGA calculation of an optimized crystal structure of MgCo2Se2, from Alexandria via LeMat-Bulk.

**N(E_F)**: 0.8517 states/eV/atom
**Symmetry**: P4/mbm, No. 127
**Total DFT energy (no corrections)**: -22.48 eV per formula unit
**ΔE to the lowest computed polymorph**: 252 meV/atom
**Magnetization**: 4.483 μB/cell
**ΔE_f (raw)**: 0.060 eV per atom
**Mass density**: 6.3 g cm⁻³

a = 6.9839 Å, b = 6.9839 Å, c = 3.2312 Å
α = 90.00°, β = 90.00°, γ = 90.00°
Each line ends with the local moment (μB).
Fractional coordinates of all 10 atoms:
Mg (0.0000, 0.0000, 0.0000)  -0.01
Mg (0.5000, 0.5000, 0.0000)  -0.01
Co (0.1319, 0.6319, 0.5000)  1.11
Co (0.6319, 0.8681, 0.5000)  1.11
Co (0.8681, 0.3681, 0.5000)  1.11
Co (0.3681, 0.1319, 0.5000)  1.11
Se (0.3370, 0.8370, 0.0000)  0.05
Se (0.8370, 0.6630, 0.0000)  0.04
Se (0.6630, 0.1630, 0.0000)  0.05
Se (0.1630, 0.3370, 0.0000)  0.04